Record 1
Here is a relaxed structure of BaTbPb6 from Alexandria via LeMat-Bulk. Energies are from PBE.

Cell: 5.077 5.077 9.759 Å, 90.00 90.00 90.00°
Positions (direct):
Pb 0.500 0.000 0.736
Pb 0.000 0.500 0.736
Pb 0.500 0.500 0.500
Pb 0.000 0.500 0.264
Tb 0.000 0.000 0.500
Pb 0.500 0.000 0.264
Ba 0.000 0.000 0.000
Pb 0.500 0.500 0.000

Summary:
Spin magnetization, μB per formula unit: 0.00
Energy of formation from the pure elements, eV/atom: -0.334
Symmetry: No. 123
Energy, eV/atom: -3.935



Record 2
Here is a relaxed structure of BaTbTlPb from Alexandria via LeMat-Bulk. Energies are from PBE.

Cell: 5.752 5.752 5.752 Å, 60.00 60.00 60.00°
Positions (direct):
Pb 0.500 0.500 0.500
Tb 0.250 0.250 0.250
Tl 0.000 0.000 0.000
Ba 0.750 0.750 0.750

Summary:
Spin magnetization, μB per formula unit: 0.00
Energy of formation from the pure elements, eV/atom: -0.321
Symmetry: No. 216
Energy, eV/atom: -3.478



Record 3
Here is a relaxed structure of Ba2TcPb from Alexandria via LeMat-Bulk. Energies are from PBE.

Cell: 6.758 6.758 5.750 Å, 64.83 64.83 34.45°
Positions (direct):
Tc 0.217 0.217 0.283
Ba 0.958 0.958 0.042
Ba 0.767 0.767 0.733
Pb 0.559 0.559 0.442

Summary:
Spin magnetization, μB per formula unit: 0.00
Energy of formation from the pure elements, eV/atom: 0.351
Symmetry: No. 44
Energy, eV/atom: -4.129